# CsGeC3

CsGeC3 at its PBEsol-relaxed geometry (SCAN, the Alexandria database).

Properties
Space-group type: Pm-3m, No. 221
Magnetic moment (μB per atom): 0.47
Calculated formation energy (kJ/mol of formula units): 2080.1

a = 4.5242 Å, b = 4.5242 Å, c = 4.5242 Å
α = 90.00°, β = 90.00°, γ = 90.00°
Each line ends with the local moment (μB).
Fractional coordinates of all 5 atoms:
Cs  0.0000  0.0000  0.0000  0.03
Ge  0.5000  0.5000  0.5000  -0.07
C  0.0000  0.5000  0.0000  0.45
C  0.0000  0.0000  0.5000  0.45
C  0.5000  0.0000  0.0000  0.45